Arrangement P

A plane-wave DFT calculation with meta-GGA SCAN was carried out for SrLaZn at its PBEsol-relaxed geometry.

a b c (Å): 5.235 5.235 5.235
angles (deg): 60.00 60.00 60.00
Positions (direct):
La: 0.000 0.000 0.000
Sr: 0.500 0.500 0.500
Zn: 0.250 0.250 0.250

Output
The size of the total moment comes out at 0.00 μB/atom. Its space-group type is F-43m. The value obtained for the density of states at the Fermi level is 3.2 states/eV per cell.

=====

Arrangement Q

A plane-wave DFT calculation with meta-GGA SCAN was carried out for SrLaZn at its PBEsol-relaxed geometry.

a b c (Å): 3.743 3.743 7.333
angles (deg): 104.79 104.79 90.00
Positions (direct):
Sr: 0.695 0.695 0.391
Zn: 0.342 0.342 0.684
La: 0.963 0.963 0.925

Output
The size of the total moment comes out at 0.00 μB/atom. Its space-group type is I4mm. The value obtained for the density of states at the Fermi level is 2.4 states/eV per cell.

=====

Ranked by calculated energy, most stable first: arrangement Q, arrangement P.

=====

Arrangement P

A plane-wave DFT calculation with meta-GGA SCAN was carried out for Sr2LaZr at its PBEsol-relaxed geometry.

a b c (Å): 3.999 3.999 9.382
angles (deg): 90.00 90.00 90.00
Site moments in Bohr magnetons follow the coordinates.
Positions (direct):
La: 0.500 0.500 0.684  0.27
Sr: 0.000 0.000 0.963  -0.03
Sr: 0.500 0.500 0.301  0.03
Zr: 0.000 0.000 0.552  0.61

Output
The size of the total moment comes out at 0.32 μB/atom. Its space-group type is P4mm. The value obtained for the density of states at the Fermi level is 3.1 states/eV per cell.

=====

Arrangement Q

A plane-wave DFT calculation with meta-GGA SCAN was carried out for Sr2LaZr at its PBEsol-relaxed geometry.

a b c (Å): 3.509 6.227 6.398
angles (deg): 90.00 95.42 90.00
Site moments in Bohr magnetons follow the coordinates.
Positions (direct):
La: 0.000 0.500 0.500  0.10
Sr: 0.742 0.000 0.759  0.04
Sr: 0.258 0.000 0.241  0.04
Zr: 0.500 0.500 0.000  0.80

Output
The size of the total moment comes out at 0.46 μB/atom. Its space-group type is P2/m. The value obtained for the density of states at the Fermi level is 4.9 states/eV per cell.

=====

Arrangement R

A plane-wave DFT calculation with meta-GGA SCAN was carried out for Sr2LaZr at its PBEsol-relaxed geometry.

a b c (Å): 4.270 4.270 7.902
angles (deg): 90.00 90.00 90.00
Site moments in Bohr magnetons follow the coordinates.
Positions (direct):
La: 0.500 0.500 0.500  -0.02
Sr: 0.000 0.000 0.772  0.07
Sr: 0.000 0.000 0.228  0.07
Zr: 0.500 0.500 0.000  1.03

Output
The size of the total moment comes out at 0.51 μB/atom. Its space-group type is P4/mmm. The value obtained for the density of states at the Fermi level is 5.7 states/eV per cell.

=====

Ranked by calculated energy, most stable first: arrangement P, arrangement Q, arrangement R.

=====

Arrangement P

A plane-wave DFT calculation with meta-GGA SCAN was carried out for LaTa2 at its PBEsol-relaxed geometry.

a b c (Å): 3.066 5.018 5.018
angles (deg): 120.00 90.00 90.00
Positions (direct):
La: 0.000 0.000 0.000
Ta: 0.500 0.667 0.333
Ta: 0.500 0.333 0.667

Output
The size of the total moment comes out at 0.00 μB/atom. Its space-group type is P6/mmm. The value obtained for the density of states at the Fermi level is 2.9 states/eV per cell.

=====

Arrangement Q

A plane-wave DFT calculation with meta-GGA SCAN was carried out for LaTa2 at its PBEsol-relaxed geometry.

a b c (Å): 2.943 5.816 8.275
angles (deg): 91.39 90.00 104.65
Positions (direct):
La: 0.939 0.878 0.010
La: 0.701 0.401 0.291
Ta: 0.451 0.901 0.377
Ta: 0.064 0.129 0.631
Ta: 0.329 0.658 0.652
Ta: 0.683 0.366 0.872

Output
The size of the total moment comes out at 0.00 μB/atom. Its space-group type is Cm. The value obtained for the density of states at the Fermi level is 6.8 states/eV per cell.

=====

Ranked by calculated energy, most stable first: arrangement Q, arrangement P.